[1]
DFT (PBE-GGA) results for an optimized crystal structure of SmHoAlPd.

Lattice parameters (Å, degrees): 5.102 5.102 5.102 60.00 60.00 60.00
Sites, in units of the cell vectors:
Sm1 0.750 0.750 0.750
Ho1 0.250 0.250 0.250
Al1 0.500 0.500 0.500
Pd1 0.000 0.000 0.000

electronic total energy = -5.10 eV/atom
theoretical density = 7.93 g/cm3
E above lowest polymorph = 0.0515 eV per atom
D(E_F) = 3.37 states/eV/cell
symmetry = F-43m (216)

=====

[2]
DFT (PBE-GGA) results for an optimized crystal structure of Ho2Al2SnPd5.

Lattice parameters (Å, degrees): 3.689 10.006 10.006 90.00 90.00 90.00
Sites, in units of the cell vectors:
Pd1 0.500 0.500 0.000
Pd2 0.500 0.063 0.787
Pd3 0.500 0.213 0.063
Pd4 0.500 0.287 0.563
Pd5 0.500 0.000 0.500
Pd6 0.500 0.563 0.713
Pd7 0.500 0.787 0.937
Pd8 0.500 0.437 0.287
Pd9 0.500 0.937 0.213
Pd10 0.500 0.713 0.437
Al1 0.000 0.617 0.883
Al2 0.000 0.883 0.383
Al3 0.000 0.117 0.617
Al4 0.000 0.383 0.117
Ho1 0.000 0.680 0.180
Ho2 0.000 0.180 0.320
Ho3 0.000 0.820 0.680
Ho4 0.000 0.320 0.820
Sn1 0.000 0.000 0.000
Sn2 0.000 0.500 0.500

electronic total energy = -5.44 eV/atom
theoretical density = 9.30 g/cm3
D(E_F) = 12.08 states/eV/cell
symmetry = P4/mbm (127)

=====

[3]
DFT (PBE-GGA) results for an optimized crystal structure of TbHoAlPd.

Lattice parameters (Å, degrees): 3.780 4.468 5.894 90.00 108.70 90.00
Sites, in units of the cell vectors:
Tb1 0.853 0.500 0.706
Pd1 0.430 0.000 0.860
Ho1 0.146 0.000 0.292
Al1 0.571 0.500 0.143

electronic total energy = -5.16 eV/atom
theoretical density = 8.05 g/cm3
E above lowest polymorph = 0.0000 eV per atom
D(E_F) = 3.67 states/eV/cell
symmetry = Amm2 (38)

=====

no.,formation energy (eV per atom)
1,-0.544
2,-0.784
3,-0.620